Entry 1:
Ac2Cd2SiPt4: relaxed, PBE.

Structure (POSCAR):
```
Ac2Cd2SiPt4
1.0
-3.477 3.477 4.188
3.477 -3.477 4.188
3.477 3.477 -4.188
Ac Cd Si Pt
2 2 1 4
direct
0.250 0.750 0.500 Ac
0.750 0.250 0.500 Ac
0.171 0.171 0.000 Cd
0.829 0.829 0.000 Cd
0.500 0.500 0.000 Si
0.257 0.257 0.515 Pt
0.257 0.743 0.000 Pt
0.743 0.257 0.000 Pt
0.743 0.743 0.485 Pt
```

Properties
ΔE_f (raw) = -0.734 eV per atom
Symmetry = I4/mmm (139)
Final energy = -5.14 eV/atom

---

Entry 2:
Ac3CdSi2Pt9: relaxed, PBE.

Structure (POSCAR):
```
Ac3CdSi2Pt9
1.0
5.920 0.000 0.000
-2.960 5.127 0.000
0.000 0.000 10.979
Ac Cd Si Pt
3 1 2 9
direct
0.000 0.000 0.000 Ac
0.333 0.667 0.619 Ac
0.667 0.333 0.381 Ac
0.000 0.000 0.500 Cd
0.333 0.667 0.157 Si
0.667 0.333 0.843 Si
0.000 0.500 0.000 Pt
0.160 0.320 0.298 Pt
0.160 0.840 0.298 Pt
0.320 0.160 0.702 Pt
0.500 0.000 0.000 Pt
0.500 0.500 0.000 Pt
0.680 0.840 0.298 Pt
0.840 0.160 0.702 Pt
0.840 0.680 0.702 Pt
```

Properties
ΔE_f (raw) = -0.785 eV per atom
Symmetry = P-3m1 (164)
Final energy = -6.02 eV/atom

---

Entry 3:
Ac2CdSiPt6: relaxed, PBE.

Structure (POSCAR):
```
Ac2CdSiPt6
1.0
5.670 0.000 0.000
0.000 8.912 0.000
0.000 0.000 8.623
Ac Cd Si Pt
4 2 2 12
direct
0.250 0.007 0.227 Ac
0.250 0.493 0.227 Ac
0.750 0.507 0.773 Ac
0.750 0.993 0.773 Ac
0.250 0.750 0.786 Cd
0.750 0.250 0.214 Cd
0.250 0.250 0.725 Si
0.750 0.750 0.275 Si
0.004 0.250 0.951 Pt
0.006 0.750 0.503 Pt
0.250 0.002 0.595 Pt
0.250 0.498 0.595 Pt
0.494 0.750 0.503 Pt
0.496 0.250 0.951 Pt
0.504 0.750 0.049 Pt
0.506 0.250 0.497 Pt
0.750 0.502 0.405 Pt
0.750 0.998 0.405 Pt
0.994 0.250 0.497 Pt
0.996 0.750 0.049 Pt
```

Properties
ΔE_f (raw) = -0.910 eV per atom
Symmetry = Pmmn (59)
Final energy = -5.99 eV/atom

---

Entry 4:
Ac2CdSn3Pt4: relaxed, PBE.

Structure (POSCAR):
```
Ac2CdSn3Pt4
1.0
4.693 0.000 0.000
0.000 4.693 0.000
0.000 0.000 10.846
Ac Cd Sn Pt
2 1 3 4
direct
0.000 0.500 0.245 Ac
0.500 0.000 0.755 Ac
0.000 0.000 0.500 Cd
0.000 0.500 0.877 Sn
0.500 0.000 0.123 Sn
0.500 0.500 0.500 Sn
0.000 0.000 0.000 Pt
0.000 0.500 0.634 Pt
0.500 0.000 0.366 Pt
0.500 0.500 0.000 Pt
```

Properties
DFT formation energy = -0.85 eV per atom
Symmetry = P-4m2 (115)
Final energy = -5.38 eV/atom

---

Entry 5:
AcCd2SnPt2: relaxed, PBE.

Structure (POSCAR):
```
AcCd2SnPt2
1.0
-2.695 2.695 5.569
2.695 -2.695 5.569
2.695 2.695 -5.569
Ac Cd Sn Pt
1 2 1 2
direct
0.000 0.000 0.000 Ac
0.250 0.750 0.500 Cd
0.750 0.250 0.500 Cd
0.500 0.500 0.000 Sn
0.266 0.266 0.000 Pt
0.734 0.734 0.000 Pt
```

Properties
DFT formation energy = -0.38 eV per atom
Symmetry = I4/mmm (139)
Final energy = -4.05 eV/atom

---

Entry 6:
AcCdSn2Pt5: relaxed, PBE.

Structure (POSCAR):
```
AcCdSn2Pt5
1.0
4.356 0.000 0.000
0.000 4.356 0.000
0.000 0.000 10.217
Ac Cd Sn Pt
1 1 2 5
direct
0.000 0.000 0.000 Ac
0.000 0.000 0.500 Cd
0.500 0.500 0.362 Sn
0.500 0.500 0.638 Sn
0.000 0.500 0.213 Pt
0.000 0.500 0.787 Pt
0.500 0.000 0.213 Pt
0.500 0.000 0.787 Pt
0.500 0.500 0.000 Pt
```

Properties
DFT formation energy = -0.38 eV per atom
Symmetry = P4/mmm (123)
Final energy = -5.18 eV/atom

---

Entry 7:
Ac3CdSn6Pt2: relaxed, PBE.

Structure (POSCAR):
```
Ac3CdSn6Pt2
1.0
6.842 0.000 0.000
-3.421 5.925 0.000
0.000 0.000 8.800
Ac Cd Sn Pt
3 1 6 2
direct
0.000 0.000 0.000 Ac
0.333 0.667 0.656 Ac
0.667 0.333 0.344 Ac
0.000 0.000 0.500 Cd
0.190 0.380 0.276 Sn
0.190 0.810 0.276 Sn
0.380 0.190 0.724 Sn
0.620 0.810 0.276 Sn
0.810 0.190 0.724 Sn
0.810 0.620 0.724 Sn
0.333 0.667 0.018 Pt
0.667 0.333 0.982 Pt
```

Properties
DFT formation energy = -0.28 eV per atom
Symmetry = P-3m1 (164)
Final energy = -4.40 eV/atom

---

Entry 8:
SrAcCdPt: relaxed, PBE.

Structure (POSCAR):
```
SrAcCdPt
1.0
0.000 3.874 3.874
3.874 0.000 3.874
3.874 3.874 0.000
Sr Ac Cd Pt
1 1 1 1
direct
0.000 0.000 0.000 Sr
0.500 0.500 0.500 Ac
0.250 0.250 0.250 Cd
0.750 0.750 0.750 Pt
```

Properties
DFT formation energy = -0.56 eV per atom
Symmetry = F-43m (216)
Final energy = -3.74 eV/atom

---

Entry 9:
Ac2UCdPt6: relaxed, PBE.

Structure (POSCAR):
```
Ac2UCdPt6
1.0
0.000 5.091 5.091
5.091 0.000 5.091
5.091 5.091 0.000
Ac U Cd Pt
2 1 1 6
direct
0.250 0.250 0.250 Ac
0.750 0.750 0.750 Ac
0.000 0.000 0.000 U
0.500 0.500 0.500 Cd
0.246 0.246 0.754 Pt
0.246 0.754 0.246 Pt
0.246 0.754 0.754 Pt
0.754 0.246 0.246 Pt
0.754 0.246 0.754 Pt
0.754 0.754 0.246 Pt
```

Properties
DFT formation energy = -0.32 eV per atom
Symmetry = Fm-3m (225)
Final energy = -5.99 eV/atom

---

Entry 10:
Ac2ZnCdPt: relaxed, PBE.

Structure (POSCAR):
```
Ac2ZnCdPt
1.0
7.055 0.000 0.000
0.000 4.711 0.000
-1.178 0.000 8.957
Ac Zn Cd Pt
4 2 2 2
direct
0.167 0.250 0.354 Ac
0.234 0.250 0.927 Ac
0.766 0.750 0.073 Ac
0.833 0.750 0.646 Ac
0.496 0.750 0.364 Zn
0.504 0.250 0.636 Zn
0.319 0.750 0.649 Cd
0.681 0.250 0.351 Cd
0.219 0.750 0.144 Pt
0.781 0.250 0.856 Pt
```

Properties
DFT formation energy = -0.58 eV per atom
Symmetry = P2_1/m (11)
Final energy = -3.87 eV/atom

---

Entry 11:
AcZnCdPt3: relaxed, PBE.

Structure (POSCAR):
```
AcZnCdPt3
1.0
3.584 -6.394 0.000
3.584 6.394 0.000
0.000 0.000 5.852
Ac Zn Cd Pt
2 2 2 6
direct
0.200 0.800 0.750 Ac
0.800 0.200 0.250 Ac
0.127 0.873 0.250 Zn
0.873 0.127 0.750 Zn
0.461 0.539 0.750 Cd
0.539 0.461 0.250 Cd
0.192 0.192 0.000 Pt
0.192 0.192 0.500 Pt
0.319 0.681 0.250 Pt
0.681 0.319 0.750 Pt
0.808 0.808 0.000 Pt
0.808 0.808 0.500 Pt
```

Properties
DFT formation energy = -0.47 eV per atom
Symmetry = Cmcm (63)
Final energy = -4.54 eV/atom

---

Entry 12:
AcZnCdPt: relaxed, PBE.

Structure (POSCAR):
```
AcZnCdPt
1.0
0.000 3.611 3.611
3.611 0.000 3.611
3.611 3.611 0.000
Ac Zn Cd Pt
1 1 1 1
direct
0.000 0.000 0.000 Ac
0.750 0.750 0.750 Zn
0.500 0.500 0.500 Cd
0.250 0.250 0.250 Pt
```

Properties
DFT formation energy = -0.46 eV per atom
Symmetry = F-43m (216)
Final energy = -3.54 eV/atom

---

Entry 13:
AcPuCd2: relaxed, PBE.

Structure (POSCAR):
```
AcPuCd2
1.0
0.000 3.946 3.946
3.946 0.000 3.946
3.946 3.946 0.000
Ac Pu Cd
1 1 2
direct
0.000 0.000 0.000 Ac
0.500 0.500 0.500 Pu
0.250 0.250 0.250 Cd
0.750 0.750 0.750 Cd
```

Properties
DFT formation energy = -0.08 eV per atom
Offset from the most stable computed form = 14.2 meV/atom
Symmetry = Fm-3m (225)
Final energy = -5.15 eV/atom

---

Entry 14:
Ac2PuCd6: relaxed, PBE.

Structure (POSCAR):
```
Ac2PuCd6
1.0
7.792 -4.496 0.000
7.792 4.496 0.000
0.000 0.000 3.610
Ac Pu Cd
2 1 6
direct
0.167 0.167 0.000 Ac
0.833 0.833 0.000 Ac
0.500 0.500 0.000 Pu
0.173 0.500 0.498 Cd
0.173 0.827 0.500 Cd
0.500 0.173 0.498 Cd
0.500 0.827 0.502 Cd
0.827 0.173 0.500 Cd
0.827 0.500 0.502 Cd
```

Properties
DFT formation energy = -0.23 eV per atom
Symmetry = C2/m (12)
Final energy = -3.34 eV/atom

---

Entry 15:
Ac2PuCd: relaxed, PBE.

Structure (POSCAR):
```
Ac2PuCd
1.0
1.851 1.068 12.549
-1.851 1.068 12.549
0.000 -2.137 12.549
Ac Pu Cd
2 1 1
direct
0.093 0.093 0.093 Ac
0.907 0.907 0.907 Ac
0.000 0.000 0.000 Pu
0.500 0.500 0.500 Cd
```

Properties
DFT formation energy = 0.31 eV per atom
Offset from the most stable computed form = 304.2 meV/atom
Symmetry = R-3m (166)
Final energy = -5.55 eV/atom

---

Entry 16:
AcPuCd2: relaxed, PBE.

Structure (POSCAR):
```
AcPuCd2
1.0
1.833 1.058 10.792
-1.833 1.058 10.792
0.000 -2.116 10.792
Ac Pu Cd
1 1 2
direct
0.000 0.000 0.000 Ac
0.500 0.500 0.500 Pu
0.246 0.246 0.246 Cd
0.754 0.754 0.754 Cd
```

Properties
DFT formation energy = 0.08 eV per atom
Offset from the most stable computed form = 174.7 meV/atom
Symmetry = R-3m (166)
Final energy = -4.99 eV/atom

---

Entry 17:
Ac2PuCd: relaxed, PBE.

Structure (POSCAR):
```
Ac2PuCd
1.0
0.000 4.111 4.111
4.111 0.000 4.111
4.111 4.111 0.000
Ac Pu Cd
2 1 1
direct
0.250 0.250 0.250 Ac
0.750 0.750 0.750 Ac
0.000 0.000 0.000 Pu
0.500 0.500 0.500 Cd
```

Properties
DFT formation energy = 0.10 eV per atom
Offset from the most stable computed form = 86.4 meV/atom
Symmetry = Fm-3m (225)
Final energy = -5.77 eV/atom

---

Entry 18:
AcPuCd2: relaxed, PBE.

Structure (POSCAR):
```
AcPuCd2
1.0
3.954 0.000 0.000
0.000 3.954 0.000
0.000 0.000 7.792
Ac Pu Cd
1 1 2
direct
0.000 0.000 0.000 Ac
0.000 0.000 0.500 Pu
0.500 0.500 0.273 Cd
0.500 0.500 0.727 Cd
```

Properties
DFT formation energy = -0.10 eV per atom
Offset from the most stable computed form = 0.0 meV/atom
Symmetry = P4/mmm (123)
Final energy = -5.17 eV/atom

---

Entry 19:
Ac2PuCd: relaxed, PBE.

Structure (POSCAR):
```
Ac2PuCd
1.0
3.919 0.000 0.000
0.000 3.919 0.000
0.000 0.000 9.264
Ac Pu Cd
2 1 1
direct
0.000 0.000 0.231 Ac
0.000 0.000 0.769 Ac
0.500 0.500 0.500 Pu
0.500 0.500 0.000 Cd
```

Properties
DFT formation energy = 0.01 eV per atom
Offset from the most stable computed form = 0.0 meV/atom
Symmetry = P4/mmm (123)
Final energy = -5.86 eV/atom

---

Entry 20:
Ac2PuCd16: relaxed, PBE.

Structure (POSCAR):
```
Ac2PuCd16
1.0
5.160 2.979 5.162
-5.160 2.979 5.162
0.000 -5.959 5.162
Ac Pu Cd
2 1 16
direct
0.000 0.000 0.000 Ac
0.325 0.325 0.325 Ac
0.752 0.752 0.752 Pu
0.023 0.023 0.527 Cd
0.023 0.527 0.023 Cd
0.176 0.667 0.667 Cd
0.308 0.308 0.842 Cd
0.308 0.842 0.308 Cd
0.371 0.669 0.971 Cd
0.371 0.971 0.669 Cd
0.527 0.023 0.023 Cd
0.545 0.545 0.545 Cd
0.667 0.176 0.667 Cd
0.667 0.667 0.176 Cd
0.669 0.371 0.971 Cd
0.669 0.971 0.371 Cd
0.842 0.308 0.308 Cd
0.971 0.371 0.669 Cd
0.971 0.669 0.371 Cd
```

Properties
DFT formation energy = -0.14 eV per atom
Symmetry = R3m (160)
Final energy = -2.10 eV/atom